Record 1
A relaxed structure of Sm2TlV, computed with PBE.

Lattice parameters (Å, degrees): 11.3858 11.3858 11.3858 17.07 17.07 17.07
Atoms (fractional coordinates):
Sm: 0.0843 0.0843 0.0843
Sm: 0.9157 0.9157 0.9157
Tl: 0.5000 0.5000 0.5000
V: 0.0000 0.0000 0.0000

Properties
Magnetic moment ... 3.10 μB per formula unit
Formation energy from the elements ... 0.530 eV per atom

Record 2
A relaxed structure of SmTlV, computed with PBE.

Lattice parameters (Å, degrees): 9.1851 8.9393 4.4712 78.79 72.68 28.52
Atoms (fractional coordinates):
Sm: 0.0987 0.0987 0.9013
Sm: 0.9013 0.9013 0.0987
Tl: 0.2500 0.2500 0.2500
Tl: 0.7500 0.7500 0.7500
V: 0.3655 0.6345 0.3655
V: 0.6345 0.3655 0.6345

Properties
Magnetic moment ... 0.00 μB per formula unit
Formation energy from the elements ... 0.418 eV per atom

Record 3
A relaxed structure of SmY2Tl2, computed with PBE.

Lattice parameters (Å, degrees): 5.3008 5.3008 6.5440 90.00 90.00 120.00
Atoms (fractional coordinates):
Sm: 0.0000 0.0000 0.0000
Y: 0.3333 0.6667 0.6684
Y: 0.6667 0.3333 0.3316
Tl: 0.3333 0.6667 0.1920
Tl: 0.6667 0.3333 0.8080

Properties
Magnetic moment ... 0.00 μB per formula unit
Formation energy from the elements ... -0.168 eV per atom
Relative energy among the computed polymorphs ... 136.0 meV/atom

Record 4
A relaxed structure of Sm3Y2Tl2, computed with PBE.

Lattice parameters (Å, degrees): 12.2676 12.2676 3.5435 90.00 90.00 156.52
Atoms (fractional coordinates):
Sm: 0.0000 0.0000 0.0000
Sm: 0.1433 0.8567 0.0000
Sm: 0.8567 0.1433 0.0000
Y: 0.2869 0.7131 0.5000
Y: 0.7131 0.2869 0.5000
Tl: 0.4272 0.5728 0.5000
Tl: 0.5728 0.4272 0.5000

Properties
Magnetic moment ... 0.39 μB per formula unit
Formation energy from the elements ... -0.093 eV per atom
Relative energy among the computed polymorphs ... 121.1 meV/atom

Record 5
A relaxed structure of Sm3Y4Tl4, computed with PBE.

Lattice parameters (Å, degrees): 10.5507 10.5507 10.5507 159.26 125.13 59.30
Atoms (fractional coordinates):
Sm: 0.0000 0.0000 0.0000
Sm: 0.4001 0.9001 0.5000
Sm: 0.5999 0.0999 0.5000
Y: 0.0300 0.3334 0.6966
Y: 0.3632 0.6666 0.6966
Y: 0.6368 0.3334 0.3034
Y: 0.9700 0.6666 0.3034
Tl: 0.2592 0.2592 0.0000
Tl: 0.2782 0.5000 0.7782
Tl: 0.7218 0.5000 0.2218
Tl: 0.7408 0.7408 0.0000

Properties
Magnetic moment ... 2.13 μB per formula unit
Formation energy from the elements ... -0.259 eV per atom

Record 6
A relaxed structure of SmYTl, computed with PBE.

Lattice parameters (Å, degrees): 3.6727 3.6727 8.0382 90.00 90.00 120.00
Atoms (fractional coordinates):
Sm: 0.0000 0.0000 0.0000
Y: 0.3333 0.6667 0.6408
Tl: 0.6667 0.3333 0.3251

Properties
Magnetic moment ... 0.87 μB per formula unit
Formation energy from the elements ... -0.152 eV per atom
Relative energy among the computed polymorphs ... 133.9 meV/atom

V across the listed records, respectively: 27.73, 27.59, 31.85, 30.35, 30.79, 31.30 Å³ per atom.